(1)
First-principles (PBE) data for crystalline Hf2Be2Si at its relaxed geometry, as listed in the Alexandria database.

Lattice parameters (Å, degrees): 3.7096 5.1369 8.5482 84.29 77.47 68.83
Closest atoms and distances in Å follow each position.
Positions (direct):
Be 0.0370 0.3420 0.5839  1 Be 2.04, 2 Si 2.18
Hf 0.3001 0.7429 0.6569  7 Be 2.75-2.92, 4 Si 2.75-2.84
Hf 0.8991 0.2943 0.9076  6 Be 2.63-2.76, 2 Si 2.73
Be 0.9630 0.6580 0.4161  1 Be 2.04, 2 Si 2.18
Be 0.6209 0.8700 0.8881  1 Si 2.22, 1 Be 2.27
Be 0.3791 0.1300 0.1119  1 Si 2.22, 1 Be 2.27
Hf 0.1009 0.7057 0.0924  6 Be 2.63-2.76, 2 Si 2.73
Si 0.5753 0.1684 0.6809  3 Be 2.18-2.22
Hf 0.6999 0.2571 0.3431  7 Be 2.75-2.92, 4 Si 2.75-2.84
Si 0.4247 0.8316 0.3191  3 Be 2.18-2.22

For the formation energy without anion corrections, the calculation gives -212 kJ/mol of formula units. The offset from the most stable computed form comes out at 0 meV/atom. As for the space group: C2/m (12). The calculation puts the total energy at -6.9965 eV per atom.


(2)
First-principles (PBE) data for crystalline HfBe3Si at its relaxed geometry, as listed in the Alexandria database.

Lattice parameters (Å, degrees): 4.1023 4.1023 4.1023 90.00 90.00 90.00
Closest atoms and distances in Å follow each position.
Positions (direct):
Be 0.5000 0.0000 0.0000  2 Si 2.05
Be 0.0000 0.0000 0.5000  2 Si 2.05
Be 0.0000 0.5000 0.0000  2 Si 2.05
Si 0.0000 0.0000 0.0000  6 Be 2.05
Hf 0.5000 0.5000 0.5000  12 Be 2.90

For the formation energy without anion corrections, the calculation gives 311 kJ/mol of formula units. The offset from the most stable computed form comes out at 0 meV/atom. As for the space group: Pm-3m (221). The calculation puts the total energy at -4.6671 eV per atom.


(3)
First-principles (PBE) data for crystalline Hf3Be3Si2 at its relaxed geometry, as listed in the Alexandria database.

Lattice parameters (Å, degrees): 3.6518 5.1480 13.4042 90.00 90.00 110.77
Closest atoms and distances in Å follow each position.
Positions (direct):
Be 0.4267 0.8533 0.9473  1 Be 2.00, 2 Si 2.16
Be 0.4267 0.8533 0.5527  1 Be 2.00, 2 Si 2.16
Hf 0.4297 0.8594 0.7500  5 Be 2.64-2.84, 4 Si 2.70
Hf 0.1332 0.2664 0.9049  4 Si 2.74-2.83, 7 Be 2.76-2.88
Be 0.7037 0.4074 0.7500  2 Si 2.25
Si 0.1562 0.3125 0.3846  3 Be 2.16-2.25
Be 0.2963 0.5926 0.2500  2 Si 2.25
Hf 0.1332 0.2664 0.5951  4 Si 2.74-2.83, 7 Be 2.76-2.88
Si 0.1562 0.3125 0.1154  3 Be 2.16-2.25
Hf 0.5703 0.1406 0.2500  5 Be 2.64-2.84, 4 Si 2.70
Hf 0.8668 0.7336 0.4049  4 Si 2.74-2.83, 7 Be 2.76-2.88
Si 0.8438 0.6875 0.8846  3 Be 2.16-2.25
Si 0.8438 0.6875 0.6154  3 Be 2.16-2.25
Be 0.5733 0.1467 0.4473  1 Be 2.00, 2 Si 2.16
Hf 0.8668 0.7336 0.0951  4 Si 2.74-2.83, 7 Be 2.76-2.88
Be 0.5733 0.1467 0.0527  1 Be 2.00, 2 Si 2.16

For the formation energy without anion corrections, the calculation gives -396 kJ/mol of formula units. As for the space group: Cmcm (63). The calculation puts the total energy at -6.9992 eV per atom.


(4)
First-principles (PBE) data for crystalline Hf5Be2Si5 at its relaxed geometry, as listed in the Alexandria database.

Lattice parameters (Å, degrees): 3.7074 6.8388 8.0800 89.21 76.74 74.27
Closest atoms and distances in Å follow each position.
Positions (direct):
Si 0.7255 0.2205 0.3284  1 Be 2.17
Si 0.2745 0.7795 0.6716  1 Be 2.17
Si 0.0000 0.0000 0.0000  4 Si 2.59-2.90, 4 Hf 2.71
Hf 0.6362 0.0779 0.6496  5 Si 2.68-2.74, 1 Be 2.69
Si 0.9400 0.3104 0.8096  2 Be 2.18
Hf 0.6800 0.7075 0.9325  7 Si 2.71-2.82, 3 Be 2.73-2.75
Hf 0.3200 0.2925 0.0675  7 Si 2.71-2.82, 3 Be 2.73-2.75
Hf 0.3638 0.9221 0.3504  5 Si 2.68-2.74, 1 Be 2.69
Be 0.6158 0.5279 0.2406  3 Si 2.17-2.18
Be 0.3842 0.4721 0.7594  3 Si 2.17-2.18
Hf 0.0000 0.5000 0.5000  4 Be 2.77, 6 Si 2.79-2.90
Si 0.0600 0.6896 0.1904  2 Be 2.18

For the formation energy without anion corrections, the calculation gives -743 kJ/mol of formula units. As for the space group: C2/m (12). The calculation puts the total energy at -7.6698 eV per atom.


(5)
First-principles (PBE) data for crystalline HfBe3Si at its relaxed geometry, as listed in the Alexandria database.

Lattice parameters (Å, degrees): 4.6740 4.6740 4.6740 90.00 90.00 90.00
Closest atoms and distances in Å follow each position.
Positions (direct):
Hf 0.0000 0.0000 0.0000  6 Be 2.34
Si 0.5000 0.5000 0.5000  12 Be 3.30
Be 0.0000 0.5000 0.0000  2 Hf 2.34
Be 0.5000 0.0000 0.0000  2 Hf 2.34
Be 0.0000 0.0000 0.5000  2 Hf 2.34

For the formation energy without anion corrections, the calculation gives 944 kJ/mol of formula units. The offset from the most stable computed form comes out at 1312 meV/atom. As for the space group: Pm-3m (221). The calculation puts the total energy at -3.3552 eV per atom.


(6)
First-principles (PBE) data for crystalline Hf3Be4Si2 at its relaxed geometry, as listed in the Alexandria database.

Lattice parameters (Å, degrees): 3.6770 5.1020 7.2929 102.12 90.00 111.12
Closest atoms and distances in Å follow each position.
Positions (direct):
Be 0.2720 0.5439 0.9475  2 Be 2.07, 1 Si 2.17
Be 0.7280 0.4561 0.0525  2 Be 2.07, 1 Si 2.17
Be 0.0516 0.1033 0.3920  1 Be 2.04, 2 Si 2.16
Be 0.9484 0.8967 0.6080  1 Be 2.04, 2 Si 2.16
Hf 0.0000 0.0000 0.0000  8 Be 2.70-2.80, 4 Si 2.76
Si 0.6129 0.2259 0.2770  3 Be 2.16-2.17
Hf 0.3343 0.6686 0.3315  8 Be 2.73-2.82, 4 Si 2.76-2.79
Si 0.3871 0.7741 0.7230  3 Be 2.16-2.17
Hf 0.6657 0.3314 0.6685  8 Be 2.73-2.82, 4 Si 2.76-2.79

For the formation energy without anion corrections, the calculation gives -462 kJ/mol of formula units. As for the space group: C2/m (12). The calculation puts the total energy at -6.7108 eV per atom.


(7)
First-principles (PBE) data for crystalline Hf2Be2Si at its relaxed geometry, as listed in the Alexandria database.

Lattice parameters (Å, degrees): 6.1342 6.1342 3.8408 90.00 90.00 90.00
Closest atoms and distances in Å follow each position.
Positions (direct):
Hf 0.1734 0.6734 0.5000  6 Be 2.62-2.66
Be 0.8786 0.6214 0.0000  1 Be 2.11
Si 0.5000 0.5000 0.0000  4 Be 2.44
Hf 0.8266 0.3266 0.5000  6 Be 2.62-2.66
Be 0.1214 0.3786 0.0000  1 Be 2.11
Be 0.3786 0.8786 0.0000  1 Be 2.11
Hf 0.6734 0.8266 0.5000  6 Be 2.62-2.66
Si 0.0000 0.0000 0.0000  4 Be 2.44
Be 0.6214 0.1214 0.0000  1 Be 2.11
Hf 0.3266 0.1734 0.5000  6 Be 2.62-2.66

For the formation energy without anion corrections, the calculation gives -193 kJ/mol of formula units. The offset from the most stable computed form comes out at 40 meV/atom. As for the space group: P4/mbm (127). The calculation puts the total energy at -6.9568 eV per atom.


(8)
First-principles (PBE) data for crystalline HfBeSi2 at its relaxed geometry, as listed in the Alexandria database.

Lattice parameters (Å, degrees): 6.7239 6.7239 5.4570 51.97 51.97 90.00
Closest atoms and distances in Å follow each position.
Positions (direct):
Si 0.8750 0.8165 0.7500  2 Be 2.22
Si 0.3750 0.4335 0.7500  2 Be 2.22
Hf 0.0000 0.0000 0.0000  2 Be 2.68, 8 Si 2.75-2.92
Be 0.2500 0.7500 0.5000  4 Si 2.22
Si 0.5665 0.1250 0.2500  2 Be 2.22
Be 0.5000 0.5000 0.0000  4 Si 2.22
Si 0.1835 0.6250 0.2500  2 Be 2.22
Hf 0.7500 0.2500 0.5000  2 Be 2.68, 8 Si 2.75-2.92

For the formation energy without anion corrections, the calculation gives -13 kJ/mol of formula units. As for the space group: I-42d (122). The calculation puts the total energy at -6.1640 eV per atom.


(9)
First-principles (PBE) data for crystalline Hf2BeSi2 at its relaxed geometry, as listed in the Alexandria database.

Lattice parameters (Å, degrees): 3.7079 5.1958 8.7977 83.47 77.83 69.10
Closest atoms and distances in Å follow each position.
Positions (direct):
Si 0.0469 0.3162 0.5900  2 Be 2.15, 1 Si 2.31
Hf 0.8987 0.2993 0.9032  6 Si 2.69-2.83, 2 Be 2.71
Si 0.3712 0.1386 0.1189  1 Be 2.19
Si 0.9531 0.6838 0.4100  2 Be 2.15, 1 Si 2.31
Be 0.4295 0.8296 0.3114  3 Si 2.15-2.19
Si 0.6288 0.8614 0.8811  1 Be 2.19
Hf 0.3029 0.7443 0.6500  4 Be 2.79-2.92, 7 Si 2.79-2.85
Hf 0.1013 0.7007 0.0968  6 Si 2.69-2.83, 2 Be 2.71
Be 0.5705 0.1704 0.6886  3 Si 2.15-2.19
Hf 0.6971 0.2557 0.3500  4 Be 2.79-2.92, 7 Si 2.79-2.85

For the formation energy without anion corrections, the calculation gives -324 kJ/mol of formula units. The offset from the most stable computed form comes out at 0 meV/atom. As for the space group: C2/m (12). The calculation puts the total energy at -7.5680 eV per atom.


(10)
First-principles (PBE) data for crystalline Hf2BeSi2 at its relaxed geometry, as listed in the Alexandria database.

Lattice parameters (Å, degrees): 6.3212 6.3212 3.9753 90.00 90.00 90.00
Closest atoms and distances in Å follow each position.
Positions (direct):
Hf 0.6759 0.8241 0.5000  6 Si 2.63-2.80
Si 0.6320 0.1320 0.0000  1 Si 2.36, 2 Be 2.47, 2 Hf 2.63
Hf 0.8241 0.3241 0.5000  6 Si 2.63-2.80
Si 0.1320 0.3680 0.0000  1 Si 2.36, 2 Be 2.47, 2 Hf 2.63
Si 0.3680 0.8680 0.0000  1 Si 2.36, 2 Be 2.47, 2 Hf 2.63
Be 0.5000 0.5000 0.0000  4 Si 2.47
Si 0.8680 0.6320 0.0000  1 Si 2.36, 2 Be 2.47, 2 Hf 2.63
Hf 0.3241 0.1759 0.5000  6 Si 2.63-2.80
Be 0.0000 0.0000 0.0000  4 Si 2.47
Hf 0.1759 0.6759 0.5000  6 Si 2.63-2.80

For the formation energy without anion corrections, the calculation gives -222 kJ/mol of formula units. The offset from the most stable computed form comes out at 211 meV/atom. As for the space group: P4/mbm (127). The calculation puts the total energy at -7.3568 eV per atom.


(11)
First-principles (PBE) data for crystalline Hf3BeSi2 at its relaxed geometry, as listed in the Alexandria database.

Lattice parameters (Å, degrees): 3.6670 10.3283 10.5534 90.00 90.00 90.00
Closest atoms and distances in Å follow each position.
Positions (direct):
Hf 0.2500 0.0619 0.8822  3 Be 2.68-2.70, 5 Si 2.72-2.78
Si 0.2500 0.8132 0.9713  2 Be 2.21
Hf 0.2500 0.7101 0.2105  2 Be 2.64, 4 Si 2.74-2.81
Hf 0.2500 0.1211 0.5491  5 Si 2.71-2.85, 1 Be 2.74
Hf 0.2500 0.7899 0.7105  2 Be 2.64, 4 Si 2.74-2.81
Hf 0.7500 0.9381 0.1178  3 Be 2.68-2.70, 5 Si 2.72-2.78
Hf 0.7500 0.6211 0.9509  5 Si 2.71-2.85, 1 Be 2.74
Be 0.7500 0.8735 0.8703  3 Si 2.21-2.24
Si 0.7500 0.5040 0.1953  1 Be 2.24
Si 0.2500 0.4960 0.8047  1 Be 2.24
Si 0.2500 0.0040 0.3047  1 Be 2.24
Be 0.2500 0.3735 0.6297  3 Si 2.21-2.24
Hf 0.2500 0.3789 0.0491  5 Si 2.71-2.85, 1 Be 2.74
Hf 0.7500 0.2101 0.2895  2 Be 2.64, 4 Si 2.74-2.81
Hf 0.7500 0.2899 0.7895  2 Be 2.64, 4 Si 2.74-2.81
Si 0.7500 0.3132 0.5287  2 Be 2.21
Be 0.7500 0.6265 0.3703  3 Si 2.21-2.24
Si 0.7500 0.9960 0.6953  1 Be 2.24
Hf 0.2500 0.4381 0.3822  3 Be 2.68-2.70, 5 Si 2.72-2.78
Si 0.7500 0.1868 0.0287  2 Be 2.21
Hf 0.7500 0.8789 0.4509  5 Si 2.71-2.85, 1 Be 2.74
Be 0.2500 0.1265 0.1297  3 Si 2.21-2.24
Si 0.2500 0.6868 0.4713  2 Be 2.21
Hf 0.7500 0.5619 0.6178  3 Be 2.68-2.70, 5 Si 2.72-2.78

For the formation energy without anion corrections, the calculation gives -410 kJ/mol of formula units. As for the space group: Pnma (62). The calculation puts the total energy at -8.1129 eV per atom.